Computed, not measured: NdHg after structural relaxation at the GGA-PBE level of DFT.

Calculated values
magnetization = 0.000 μB/f.u.
mass density = 8.89 g/cm³
electronic total energy = -2.77 eV per atom

The structure in POSCAR format:
```
NdHg
1.0
4.4997 0.0000 0.0000
2.2499 3.8969 0.0000
2.2499 1.2990 3.6740
Hg Nd
1 1
Cartesian
4.4997 2.5979 1.8370 Hg
0.0000 0.0000 0.0000 Nd
```